# 1
A plane-wave DFT calculation with PBE-GGA was carried out for crystalline Ti2NbS2 at its relaxed geometry.

Lattice parameters (Å, degrees): 3.7634 3.7634 11.4661 90.00 90.00 90.00
Fractional coordinates of all 10 atoms:
Ti 0.0000 0.5000 0.2500
Ti 0.0000 0.5000 0.7500
Ti 0.5000 0.0000 0.2500
Ti 0.5000 0.0000 0.7500
Nb 0.0000 0.0000 0.0000
Nb 0.5000 0.5000 0.5000
S 0.0000 0.0000 0.3810
S 0.0000 0.0000 0.6190
S 0.5000 0.5000 0.1190
S 0.5000 0.5000 0.8810

Output
As for the offset from the most stable computed form: 675 meV per atom. The calculation puts the total energy at -7.1883 eV per atom. The space group is I4/mmm. The magnetic moment is 2.6 μB per cell. The uncorrected formation energy is -0.37 eV/atom.

---

# 2
A plane-wave DFT calculation with PBE-GGA was carried out for crystalline CaNpP2S8 at its relaxed geometry.

Lattice parameters (Å, degrees): 6.0145 6.0145 9.0005 90.00 90.00 120.00
Fractional coordinates of all 12 atoms:
Ca 0.0000 0.0000 0.0000
Np 0.0000 0.0000 0.5000
P 0.3333 0.6667 0.7668
P 0.6667 0.3333 0.2332
S 0.0022 0.3401 0.6968
S 0.3333 0.6667 0.9883
S 0.3379 0.9978 0.6968
S 0.3401 0.3379 0.3032
S 0.6599 0.6621 0.6968
S 0.6621 0.0022 0.3032
S 0.6667 0.3333 0.0117
S 0.9978 0.6599 0.3032

Output
The calculation puts the total energy at -5.5548 eV per atom. The space group is P-3. The magnetic moment is 3.0 μB per cell. The uncorrected formation energy is -0.66 eV/atom.

---

# 3
A plane-wave DFT calculation with PBE-GGA was carried out for crystalline LaTh at its relaxed geometry.

Lattice parameters (Å, degrees): 3.6169 3.6169 36.1593 90.00 90.00 120.00
Fractional coordinates of all 12 atoms:
La 0.0000 0.0000 0.1204
La 0.0000 0.0000 0.8796
La 0.3333 0.6667 0.5462
La 0.3333 0.6667 0.7871
La 0.6667 0.3333 0.2129
La 0.6667 0.3333 0.4538
Th 0.0000 0.0000 0.3727
Th 0.0000 0.0000 0.6273
Th 0.3333 0.6667 0.0394
Th 0.3333 0.6667 0.2939
Th 0.6667 0.3333 0.7061
Th 0.6667 0.3333 0.9606

Output
As for the offset from the most stable computed form: 2 meV per atom. The calculation puts the total energy at -6.1573 eV per atom. The formation energy from the elements is 16.4 meV per atom. The space group is R-3m. The magnetic moment is 0.0 μB per cell.

---

# 4
A plane-wave DFT calculation with PBE-GGA was carried out for crystalline ZrTc2Sb at its relaxed geometry.

Lattice parameters (Å, degrees): 4.5237 4.5237 3.3906 90.00 90.00 90.00
Fractional coordinates of all 4 atoms:
Zr 0.0000 0.0000 0.0000
Tc 0.0000 0.5000 0.5000
Tc 0.5000 0.0000 0.5000
Sb 0.5000 0.5000 0.0000

Output
The calculation puts the total energy at -8.6084 eV per atom. The space group is P4/mmm. The magnetic moment is 0.0 μB per cell. The uncorrected formation energy is -0.26 eV/atom.